# 1
Material: Pr2Ga5Co3
Method: DFT, PBE
State: optimized geometry

SG = Ibam
Total magnetic moment = 0.000 μB/atom
Energy of formation = -0.457 eV per atom
Fermi-level density of states = 7.87 states/eV/f.u.

Lattice parameters (Å, degrees): 8.4619 8.4619 8.4619 108.21 84.82 141.06
Closest atoms and distances in Å follow each position.
Element x y z (fractional)
Pr (0.1394, 0.2248, 0.3642)  9 Ga 3.03-3.25, 4 Co 3.11-3.24
Pr (0.3606, 0.7248, 0.0855)  9 Ga 3.03-3.25, 4 Co 3.11-3.24
Pr (0.6394, 0.2752, 0.9145)  9 Ga 3.03-3.25, 4 Co 3.11-3.24
Pr (0.8606, 0.7752, 0.6358)  9 Ga 3.03-3.25, 4 Co 3.11-3.24
Ga (0.0407, 0.7500, 0.2907)  3 Co 2.47-2.62, 2 Ga 2.67
Ga (0.0880, 0.6698, 0.7578)  3 Co 2.46-2.47, 2 Ga 2.67
Ga (0.2500, 0.2500, 0.0000)  4 Co 2.48
Ga (0.4120, 0.1698, 0.5818)  3 Co 2.46-2.47, 2 Ga 2.67
Ga (0.4593, 0.7500, 0.7093)  3 Co 2.47-2.62, 2 Ga 2.67
Ga (0.5407, 0.2500, 0.2907)  3 Co 2.47-2.62, 2 Ga 2.67
Ga (0.5880, 0.8302, 0.4182)  3 Co 2.46-2.47, 2 Ga 2.67
Ga (0.7500, 0.7500, 0.0000)  4 Co 2.48
Ga (0.9120, 0.3302, 0.2422)  3 Co 2.46-2.47, 2 Ga 2.67
Ga (0.9593, 0.2500, 0.7093)  3 Co 2.47-2.62, 2 Ga 2.67
Co (0.1458, 0.9079, 0.0537)  5 Ga 2.47-2.48
Co (0.2500, 0.7500, 0.5000)  6 Ga 2.46-2.62
Co (0.3542, 0.4079, 0.7621)  5 Ga 2.47-2.48
Co (0.6458, 0.5921, 0.2379)  5 Ga 2.47-2.48
Co (0.7500, 0.2500, 0.5000)  6 Ga 2.46-2.62
Co (0.8542, 0.0921, 0.9463)  5 Ga 2.47-2.48

# 2
Material: Y4Ho3Te8
Method: DFT, PBE
State: optimized geometry

SG = C2/m
Total magnetic moment = 0.000 μB/atom
Raw formation energy = -1.367 eV/atom
Fermi-level density of states = 6.95 states/eV/f.u.

Lattice parameters (Å, degrees): 8.6696 8.6696 8.6698 119.99 119.99 90.01
Closest atoms and distances in Å follow each position.
Element x y z (fractional)
Y (0.0000, 0.0000, 0.0000)  6 Te 3.07-3.08
Y (0.0000, 0.0000, 0.5000)  6 Te 3.14
Y (0.0000, 0.5000, 0.0000)  6 Te 3.06-3.07
Y (0.5000, 0.0000, 0.0000)  6 Te 3.06-3.07
Ho (0.0000, 0.5000, 0.5000)  6 Te 3.07
Ho (0.5000, 0.0000, 0.5000)  6 Te 3.07
Ho (0.5000, 0.5000, 0.0000)  6 Te 3.06
Te (0.2508, 0.7492, 0.0000)  3 Ho 3.06-3.07, 3 Y 3.06-3.07
Te (0.2560, 0.7440, 0.5000)  2 Ho 3.07, 3 Y 3.07-3.14
Te (0.2568, 0.2568, 0.0120)  1 Ho 3.06, 4 Y 3.07-3.14
Te (0.2568, 0.2568, 0.5015)  3 Ho 3.06-3.07, 2 Y 3.08-3.14
Te (0.7432, 0.7432, 0.4985)  3 Ho 3.06-3.07, 2 Y 3.08-3.14
Te (0.7432, 0.7432, 0.9880)  1 Ho 3.06, 4 Y 3.07-3.14
Te (0.7440, 0.2560, 0.5000)  2 Ho 3.07, 3 Y 3.07-3.14
Te (0.7492, 0.2508, 0.0000)  3 Ho 3.06-3.07, 3 Y 3.06-3.07

# 3
Material: CrNi3As
Method: DFT, PBE
State: optimized geometry

SG = Pm-3m
Total magnetic moment = 0.000 μB/atom
Energy of formation = 1.105 eV per atom
Fermi-level density of states = 6.74 states/eV/f.u.

Lattice parameters (Å, degrees): 4.2705 4.2705 4.2705 90.00 90.00 90.00
Closest atoms and distances in Å follow each position.
Element x y z (fractional)
Cr (0.0000, 0.0000, 0.0000)  6 Ni 2.14
Ni (0.0000, 0.0000, 0.5000)  2 Cr 2.14
Ni (0.0000, 0.5000, 0.0000)  2 Cr 2.14
Ni (0.5000, 0.0000, 0.0000)  2 Cr 2.14
As (0.5000, 0.5000, 0.5000)  12 Ni 3.02

# 4
Material: LiHfSnRh
Method: DFT, PBE
State: optimized geometry

SG = F-43m
Total magnetic moment = 0.000 μB/atom
Energy of formation = -0.724 eV per atom

Lattice parameters (Å, degrees): 4.5551 4.5551 4.5551 60.00 60.00 60.00
Closest atoms and distances in Å follow each position.
Element x y z (fractional)
Li (0.0000, 0.0000, 0.0000)  4 Hf 2.79, 4 Sn 2.79
Hf (0.7500, 0.7500, 0.7500)  4 Li 2.79, 4 Rh 2.79
Sn (0.2500, 0.2500, 0.2500)  4 Li 2.79, 4 Rh 2.79
Rh (0.5000, 0.5000, 0.5000)  4 Hf 2.79, 4 Sn 2.79

# 5
Material: Ho8Hg2Bi
Method: DFT, PBE
State: optimized geometry

SG = C2/m
Total magnetic moment = 0.000 μB/atom
Energy of formation = -0.191 eV per atom
Fermi-level density of states = 14.78 states/eV/f.u.

Lattice parameters (Å, degrees): 8.3125 8.3125 5.6289 99.87 99.87 116.62
Closest atoms and distances in Å follow each position.
Element x y z (fractional)
Ho (0.0912, 0.3247, 0.6138)  2 Hg 3.04-3.16, 1 Ho 3.30
Ho (0.2326, 0.7674, 0.0000)  2 Hg 2.99, 1 Bi 3.29
Ho (0.3247, 0.0912, 0.6138)  2 Hg 3.04-3.16, 1 Ho 3.30
Ho (0.4025, 0.4025, 0.2026)  2 Hg 3.21, 2 Ho 3.22-3.26, 1 Bi 3.32
Ho (0.5975, 0.5975, 0.7974)  2 Hg 3.21, 2 Ho 3.22-3.26, 1 Bi 3.32
Ho (0.6753, 0.9088, 0.3862)  2 Hg 3.04-3.16, 1 Ho 3.30
Ho (0.7674, 0.2326, 0.0000)  2 Hg 2.99, 1 Bi 3.29
Ho (0.9088, 0.6753, 0.3862)  2 Hg 3.04-3.16, 1 Ho 3.30
Hg (0.3041, 0.6959, 0.5000)  8 Ho 2.99-3.21
Hg (0.6959, 0.3041, 0.5000)  8 Ho 2.99-3.21
Bi (0.0000, 0.0000, 0.0000)  8 Ho 3.29-3.65

# 6
Material: YMoRh4
Method: DFT, PBE
State: optimized geometry

SG = F-43m
Total magnetic moment = 0.246 μB/atom
Energy of formation = -0.138 eV per atom
Fermi-level density of states = 7.69 states/eV/f.u.

Lattice parameters (Å, degrees): 5.2144 5.2144 5.2144 60.00 60.00 60.00
Closest atoms and distances in Å follow each position.
Element x y z (fractional)
Y (0.0000, 0.0000, 0.0000)  12 Rh 3.06, 4 Mo 3.19
Mo (0.7500, 0.7500, 0.7500)  12 Rh 3.06, 4 Y 3.19
Rh (0.3751, 0.3751, 0.3751)  6 Rh 2.60-2.61
Rh (0.3751, 0.3751, 0.8746)  6 Rh 2.60-2.61
Rh (0.3751, 0.8746, 0.3751)  6 Rh 2.60-2.61
Rh (0.8746, 0.3751, 0.3751)  6 Rh 2.60-2.61

# 7
Material: Ca3Tc
Method: DFT, PBE
State: optimized geometry

SG = P4/mmm
Total magnetic moment = 0.444 μB/atom
Energy of formation = 0.454 eV per atom
Fermi-level density of states = 4.70 states/eV/f.u.

Lattice parameters (Å, degrees): 3.5276 3.5276 9.8177 90.00 90.00 90.00
Closest atoms and distances in Å follow each position.
Element x y z (fractional)
Ca (0.0000, 0.0000, 0.0000)  4 Ca 3.53
Ca (0.5000, 0.5000, 0.3178)  4 Tc 3.07
Ca (0.5000, 0.5000, 0.6822)  4 Tc 3.07
Tc (0.0000, 0.0000, 0.5000)  8 Ca 3.07

# 8
Material: CuNi2Hg
Method: DFT, PBE
State: optimized geometry

SG = Cm
Total magnetic moment = 0.002 μB/atom
Energy of formation = 0.208 eV per atom
Fermi-level density of states = 4.89 states/eV/f.u.

Lattice parameters (Å, degrees): 4.5513 4.5513 4.5883 101.48 101.48 36.18
Closest atoms and distances in Å follow each position.
Element x y z (fractional)
Cu (0.0000, 0.0000, 0.0000)  5 Ni 2.51-2.62, 3 Hg 2.66-2.74
Ni (0.4832, 0.4832, 0.4438)  2 Cu 2.51, 3 Ni 2.53-2.66, 3 Hg 2.67-2.71
Ni (0.7448, 0.7448, 0.2236)  5 Ni 2.53-2.83, 3 Cu 2.57-2.62, 4 Hg 2.68-2.71
Hg (0.2397, 0.2397, 0.7183)  3 Cu 2.66-2.74, 7 Ni 2.67-2.71, 2 Hg 2.83